{
  "formula": "KRbN",
  "functional": "PBE-GGA",
  "state": "optimized geometry",
  "cell": [[-3.737, -0.107, 3.908], [-4.410, -3.032, -0.581], [0.972, -7.031, 4.485]],
  "species": ["N", "K", "K", "Rb", "N", "Rb"],
  "frac_coords": [[0.048, 0.672, 0.929], [0.160, 0.781, 0.602], [0.937, 0.555, 0.274], [0.656, 0.275, 0.116], [0.267, 0.888, 0.279], [0.386, 0.008, 0.920]],
  "raw_formation_energy_ev_per_atom": 0.76,
  "mass_density_g_cm3": 2.34
}

---

{
  "formula": "TlCr2Cd",
  "functional": "PBE-GGA",
  "state": "optimized geometry",
  "cell": [[-3.412, 1.550, 4.174], [-5.439, -1.288, -0.476], [5.254, -1.949, 0.261]],
  "species": ["Cr", "Cd", "Tl", "Cr"],
  "frac_coords": [[0.032, 0.032, 0.000], [0.764, 0.264, 0.500], [0.485, 0.485, 0.000], [0.219, 0.719, 0.500]],
  "formation_enthalpy_0k_mev_per_atom": 510,
  "mass_density_g_cm3": 9.30
}

---

{
  "formula": "Nd3HgBi",
  "functional": "PBE-GGA",
  "state": "optimized geometry",
  "cell": [[8.991, -0.296, -0.222], [0.256, 8.501, -0.961], [0.256, 1.480, 8.427]],
  "species": ["Hg", "Hg", "Nd", "Hg", "Nd", "Nd", "Hg", "Nd", "Nd", "Nd", "Nd", "Bi", "Nd", "Nd", "Nd", "Bi", "Bi", "Bi", "Nd", "Nd"],
  "frac_coords": [[0.369, 0.802, 0.700], [0.869, 0.700, 0.802], [0.416, 0.502, 0.303], [0.631, 0.198, 0.300], [0.916, 0.997, 0.196], [0.584, 0.804, 0.003], [0.131, 0.300, 0.198], [0.084, 0.003, 0.804], [0.916, 0.303, 0.502], [0.322, 0.068, 0.432], [0.584, 0.498, 0.697], [0.750, 0.653, 0.347], [0.416, 0.196, 0.997], [0.084, 0.697, 0.498], [0.822, 0.432, 0.068], [0.250, 0.347, 0.653], [0.750, 0.153, 0.847], [0.250, 0.847, 0.153], [0.178, 0.568, 0.932], [0.678, 0.932, 0.568]],
  "formation_enthalpy_0k_mev_per_atom": -477,
  "mass_density_g_cm3": 8.50
}